A plane-wave DFT calculation with PBE-GGA was carried out for a relaxed NaFeTcHg crystal.

Lattice parameters (Å, degrees): 4.524 4.524 4.524 60.00 60.00 60.00
Fractional positions:
Na 0.000 0.000 0.000
Fe 0.500 0.500 0.500
Tc 0.250 0.250 0.250
Hg 0.750 0.750 0.750

The space group is No. 216.

A plane-wave DFT calculation with PBE-GGA was carried out for a relaxed ZnCuAgBi crystal.

Lattice parameters (Å, degrees): 4.781 4.781 4.781 60.00 60.00 60.00
Fractional positions:
Zn 0.000 0.000 0.000
Cu 0.500 0.500 0.500
Ag 0.750 0.750 0.750
Bi 0.250 0.250 0.250

The space group is No. 216.

A plane-wave DFT calculation with PBE-GGA was carried out for a relaxed NaLaAu2 crystal.

Lattice parameters (Å, degrees): 8.943 8.943 8.943 146.45 131.75 60.05
Fractional positions:
Na 0.000 0.000 0.000
Na 0.333 0.333 0.000
Na 0.667 0.667 0.000
La 0.167 0.667 0.500
La 0.500 0.000 0.500
La 0.833 0.333 0.500
Au 0.084 0.833 0.250
Au 0.250 0.500 0.750
Au 0.417 0.167 0.250
Au 0.583 0.833 0.750
Au 0.750 0.500 0.250
Au 0.916 0.167 0.750

The space group is No. 71.

A plane-wave DFT calculation with PBE-GGA was carried out for a relaxed LaDyBr2O2 crystal.

Lattice parameters (Å, degrees): 3.925 3.925 8.387 90.00 90.00 90.00
Fractional positions:
La 0.000 0.000 0.000
Dy 0.500 0.500 0.284
Br 0.000 0.000 0.480
Br 0.500 0.500 0.805
O 0.000 0.500 0.154
O 0.500 0.000 0.154

The space group is No. 99.

A plane-wave DFT calculation with PBE-GGA was carried out for a relaxed TmScNO crystal.

Lattice parameters (Å, degrees): 3.912 3.912 7.811 90.00 90.00 90.00
Fractional positions:
Tm 0.250 0.250 0.127
Tm 0.750 0.750 0.873
Sc 0.250 0.750 0.500
Sc 0.750 0.250 0.500
N 0.250 0.250 0.629
N 0.750 0.750 0.371
O 0.250 0.750 0.000
O 0.750 0.250 0.000

The space group is No. 129.

A plane-wave DFT calculation with PBE-GGA was carried out for a relaxed RbLaPdS3 crystal.

Lattice parameters (Å, degrees): 7.009 7.009 11.552 90.00 90.00 143.33
Fractional positions:
Rb 0.228 0.772 0.750
Rb 0.772 0.228 0.250
La 0.500 0.500 0.000
La 0.500 0.500 0.500
Pd 0.062 0.938 0.250
Pd 0.938 0.062 0.750
S 0.131 0.869 0.057
S 0.131 0.869 0.443
S 0.497 0.503 0.250
S 0.503 0.497 0.750
S 0.869 0.131 0.557
S 0.869 0.131 0.943

The space group is No. 63.

A plane-wave DFT calculation with PBE-GGA was carried out for a relaxed NbBPO crystal.

Lattice parameters (Å, degrees): 3.312 3.312 8.135 90.00 90.00 90.00
Fractional positions:
Nb 0.250 0.250 0.166
Nb 0.750 0.750 0.834
B 0.250 0.750 0.500
B 0.750 0.250 0.500
P 0.250 0.250 0.672
P 0.750 0.750 0.328
O 0.250 0.750 0.000
O 0.750 0.250 0.000

The space group is No. 129.

A plane-wave DFT calculation with PBE-GGA was carried out for a relaxed PaSiHg crystal.

Lattice parameters (Å, degrees): 4.861 4.861 4.861 60.00 60.00 60.00
Fractional positions:
Pa 0.000 0.000 0.000
Si 0.250 0.250 0.250
Hg 0.750 0.750 0.750

The space group is No. 216.

Short version: E_tot = -0.1580; -0.0997; -0.1406; -0.2475; -0.2939; -0.1898; -0.2602; -0.1742 hartree per atom, in the order given.